[1]
The following is a GGA-PBE calculation of a relaxed structure of Th4Ge2Ir, from Alexandria via LeMat-Bulk.

## Properties
Calculated total energy   -7.519 eV/atom
Fermi-level density of states   4.96 states/eV/f.u.
Magnetic moment   0.00 Bohr magnetons per cell

Unit cell a=8.8828 b=8.8828 c=9.4438 alpha=90.00 beta=90.00 gamma=90.00
Closest atoms and distances in Å follow each position.
Space group I-42d (No. 122)
Asymmetric unit:
Th1 0.0663 0.1947 0.3055 [16 per cell]  1 Ir 2.82, 2 Ge 2.99-3.08
Ge1 0.1056 0.2500 0.6250 [8 per cell]  6 Th 2.99-3.20
Ir1 0.0000 0.0000 0.0000 [4 per cell]  4 Th 2.82

---

[2]
The following is a GGA-PBE calculation of a relaxed structure of Eu2HgBr, from Alexandria via LeMat-Bulk.

## Properties
Fermi-level density of states   2.04 states/eV/f.u.
Raw formation energy   -0.905 eV per atom
Polymorph energy (0 for the lowest one)   44 meV/atom
Magnetic moment   14.68 Bohr magnetons per cell

Unit cell a=3.7976 b=3.7976 c=8.4500 alpha=90.00 beta=90.00 gamma=90.00
Closest atoms and distances in Å follow each position.
Space group P4/mmm (No. 123)
Asymmetric unit:
Eu1 0.0000 0.0000 0.2324 [2 per cell]  4 Hg 3.33, 4 Br 3.51
Hg1 0.5000 0.5000 0.0000 [1 per cell]  8 Eu 3.33
Br1 0.5000 0.5000 0.5000 [1 per cell]  8 Eu 3.51, 4 Br 3.80

---

[3]
The following is a GGA-PBE calculation of a relaxed structure of KRb2Pb2F7, from Alexandria via LeMat-Bulk.

## Properties
Fermi-level density of states   0.00 states/eV/f.u.
Raw formation energy   -2.515 eV per atom
Magnetic moment   0.00 Bohr magnetons per cell

Unit cell a=6.3299 b=7.1595 c=12.3848 alpha=90.00 beta=102.58 gamma=90.00
Closest atoms and distances in Å follow each position.
Space group C2/m (No. 12)
Asymmetric unit:
K1 0.0000 0.0000 0.0000 [2 per cell]  6 F 2.89-3.16
Rb1 0.1794 0.0000 0.3752 [4 per cell]  4 F 2.70-2.96
Pb1 0.1099 0.5000 0.1988 [4 per cell]  6 F 2.37-2.51
F1 0.0000 0.5000 0.0000 [2 per cell]  2 Pb 2.41
F2 0.0966 0.1990 0.8134 [8 per cell]  2 Pb 2.37-2.51
F3 0.2287 0.5000 0.4014 [4 per cell]  1 Pb 2.46, 1 Rb 2.70

---

[4]
The following is a GGA-PBE calculation of a relaxed structure of Li2PRu, from Alexandria via LeMat-Bulk.

## Properties
Calculated total energy   -4.824 eV/atom
Fermi-level density of states   1.87 states/eV/f.u.
Magnetic moment   0.00 Bohr magnetons per cell

Unit cell a=2.8229 b=4.1085 c=4.6049 alpha=90.00 beta=90.00 gamma=90.00
Closest atoms and distances in Å follow each position.
Space group Pmmm (No. 47)
Asymmetric unit:
Li1 0.0000 0.0000 0.2479 [2 per cell]  2 Li 2.28-2.32
P1 0.5000 0.5000 0.5000 [1 per cell]  2 Ru 2.30
Ru1 0.5000 0.5000 0.0000 [1 per cell]  2 P 2.30

---

[5]
The following is a GGA-PBE calculation of a relaxed structure of TiAlInI2, from Alexandria via LeMat-Bulk.

## Properties
Fermi-level density of states   4.83 states/eV/f.u.
Raw formation energy   0.493 eV per atom
Magnetic moment   2.99 Bohr magnetons per cell

Unit cell a=5.8332 b=5.8332 c=5.3029 alpha=90.00 beta=90.00 gamma=90.00
Closest atoms and distances in Å follow each position.
Space group P4/mmm (No. 123)
Asymmetric unit:
Ti1 0.0000 0.0000 0.0000 [1 per cell]  2 Al 2.65
Al1 0.0000 0.0000 0.5000 [1 per cell]  2 Ti 2.65, 4 I 2.92
In1 0.5000 0.5000 0.0000 [1 per cell]  8 I 3.94, 4 Ti 4.12
I1 0.0000 0.5000 0.5000 [2 per cell]  2 Al 2.92

---

[6]
The following is a GGA-PBE calculation of a relaxed structure of Sc2MoOs, from Alexandria via LeMat-Bulk.

## Properties
Calculated total energy   -8.675 eV/atom
Fermi-level density of states   3.09 states/eV/f.u.
Magnetic moment   0.00 Bohr magnetons per cell

Unit cell a=2.9136 b=4.4176 c=5.4330 alpha=90.00 beta=99.25 gamma=90.00
Closest atoms and distances in Å follow each position.
Space group P2/m (No. 10)
Asymmetric unit:
Sc1 0.2384 0.0000 0.2553 [2 per cell]  2 Os 2.73, 2 Mo 2.78, 4 Sc 2.84-2.91
Mo1 0.5000 0.5000 0.0000 [1 per cell]  4 Sc 2.78, 2 Os 2.87, 2 Mo 2.91
Os1 0.0000 0.5000 0.5000 [1 per cell]  4 Sc 2.73, 2 Mo 2.87, 2 Os 2.91

---

[7]
The following is a GGA-PBE calculation of a relaxed structure of BaSmEu, from Alexandria via LeMat-Bulk.

## Properties
Fermi-level density of states   8.68 states/eV/f.u.
Polymorph energy (0 for the lowest one)   2 meV/atom
Magnetic moment   7.60 Bohr magnetons per cell

Unit cell a=3.9269 b=3.9269 c=9.7319 alpha=90.00 beta=90.00 gamma=120.00
Closest atoms and distances in Å follow each position.
Space group P3m1 (No. 156)
Asymmetric unit:
Ba1 0.0000 0.0000 0.0000 [1 per cell]  6 Ba 3.93, 3 Sm 3.98, 3 Eu 4.19
Sm1 0.6667 0.3333 0.3367 [1 per cell]  3 Eu 3.71, 6 Sm 3.93, 3 Ba 3.98
Eu1 0.3333 0.6667 0.6384 [1 per cell]  3 Sm 3.71, 6 Eu 3.93

---

[8]
The following is a GGA-PBE calculation of a relaxed structure of PaAgSb, from Alexandria via LeMat-Bulk.

## Properties
Fermi-level density of states   2.76 states/eV/f.u.
Raw formation energy   -0.112 eV per atom
Polymorph energy (0 for the lowest one)   0 meV/atom
Magnetic moment   0.00 Bohr magnetons per cell

Unit cell a=4.3064 b=4.3126 c=7.8143 alpha=89.93 beta=89.85 gamma=90.00
Closest atoms and distances in Å follow each position.
Space group P-1 (No. 2)
Asymmetric unit:
Pa1 0.2499 0.2500 0.0000 [2 per cell]  4 Pa 3.05, 4 Sb 3.23-3.24, 4 Ag 3.31
Ag1 0.2479 0.7489 0.3213 [2 per cell]  5 Sb 2.89-3.05
Sb1 0.2515 0.7508 0.6911 [2 per cell]  5 Ag 2.89-3.05, 4 Pa 3.23-3.24

---

[9]
The following is a GGA-PBE calculation of a relaxed structure of CrGa5Co6, from Alexandria via LeMat-Bulk.

## Properties
Calculated total energy   -5.837 eV/atom
Fermi-level density of states   9.24 states/eV/f.u.
Magnetic moment   8.41 Bohr magnetons per cell

Unit cell a=4.0862 b=12.2613 c=5.7074 alpha=90.00 beta=90.00 gamma=90.00
Closest atoms and distances in Å follow each position.
Space group Cmmm (No. 65)
Asymmetric unit:
Cr1 0.0000 0.0000 0.0000 [2 per cell]  8 Co 2.50
Ga1 0.0000 0.0000 0.5000 [2 per cell]  8 Co 2.48-2.51
Ga2 0.0000 0.3338 0.5000 [4 per cell]  8 Co 2.48-2.49
Ga3 0.0000 0.3387 0.0000 [4 per cell]  8 Co 2.45-2.53
Co1 0.0000 0.1678 0.2494 [8 per cell]  7 Ga 2.49-2.53, 1 Cr 2.50
Co2 0.0000 0.5000 0.2527 [4 per cell]  6 Ga 2.45-2.48, 2 Cr 2.50

---

[10]
The following is a GGA-PBE calculation of a relaxed structure of Er4CdAgPd2, from Alexandria via LeMat-Bulk.

## Properties
Calculated total energy   -4.650 eV/atom
Fermi-level density of states   4.17 states/eV/f.u.
Magnetic moment   0.00 Bohr magnetons per cell

Unit cell a=5.0360 b=5.0360 c=24.6991 alpha=90.00 beta=90.00 gamma=120.00
Closest atoms and distances in Å follow each position.
Space group R-3m (No. 166, hexagonal axes)
Asymmetric unit:
Er1 0.0000 0.0000 0.1229 [6 per cell]  1 Ag 3.04, 4 Pd 3.05-3.07, 3 Cd 3.10
Er2 0.0000 0.0000 0.3731 [6 per cell]  3 Ag 3.07, 4 Pd 3.11-3.12, 1 Cd 3.13
Cd1 0.0000 0.0000 0.5000 [3 per cell]  8 Er 3.10-3.13
Ag1 0.0000 0.0000 0.0000 [3 per cell]  8 Er 3.04-3.07
Pd1 0.0000 0.0000 0.2473 [6 per cell]  8 Er 3.05-3.12

---

[11]
The following is a GGA-PBE calculation of a relaxed structure of PrTlCd, from Alexandria via LeMat-Bulk.

## Properties
Calculated total energy   -2.931 eV/atom
Fermi-level density of states   0.20 states/eV/f.u.
Magnetic moment   0.00 Bohr magnetons per cell

Unit cell a=7.1840 b=7.1840 c=7.1840 alpha=90.00 beta=90.00 gamma=90.00
Closest atoms and distances in Å follow each position.
Space group F-43m (No. 216)
Asymmetric unit:
Pr1 0.0000 0.0000 0.0000 [4 per cell]  4 Tl 3.11
Tl1 0.2500 0.2500 0.2500 [4 per cell]  4 Cd 3.11, 4 Pr 3.11
Cd1 0.0000 0.0000 0.5000 [4 per cell]  4 Tl 3.11

---

[12]
The following is a GGA-PBE calculation of a relaxed structure of NdYCd, from Alexandria via LeMat-Bulk.

## Properties
Fermi-level density of states   5.23 states/eV/f.u.
Polymorph energy (0 for the lowest one)   282 meV/atom
Magnetic moment   0.30 Bohr magnetons per cell

Unit cell a=7.4018 b=7.4018 c=7.4018 alpha=90.00 beta=90.00 gamma=90.00
Closest atoms and distances in Å follow each position.
Space group F-43m (No. 216)
Asymmetric unit:
Nd1 0.0000 0.0000 0.0000 [4 per cell]  4 Cd 3.21
Y1 0.0000 0.0000 0.5000 [4 per cell]  4 Cd 3.21
Cd1 0.2500 0.2500 0.7500 [4 per cell]  4 Nd 3.21, 4 Y 3.21